[1]
PBE TlRhCO2, relaxed; size of the total moment = 0.351 μB per atom; DOS(E_F) = 0.756 states/eV/atom; density = 8.96 g/cm3; total DFT energy (no corrections) = -21.5 eV/f.u.; SG = P4/mmm (123)
1.0
-2.033 3.183 0.398
-1.489 -1.452 4.002
2.953 1.673 1.706
Tl Rh C O
1 1 1 2
direct
0.000 0.500 0.000
0.500 0.500 0.500
0.000 0.000 0.000
0.000 0.000 0.500
0.500 0.000 0.000


[2]
PBE Zn2RhW, relaxed; size of the total moment = 0.000 μB per atom; formation energy = -0.004 eV per atom; DOS(E_F) = 0.652 states/eV/atom; density = 11.43 g/cm3; SG = R3m (160)
1.0
9.108 -0.007 -0.004
8.681 2.756 -0.004
8.681 1.342 2.407
Rh W Zn
1 1 2
direct
0.499 0.499 0.499
0.753 0.753 0.753
0.001 0.001 0.001
0.247 0.247 0.247


[3]
PBE GdHBr, relaxed; size of the total moment = 2.428 μB per atom; DOS(E_F) = 1.379 states/eV/atom; density = 6.74 g/cm3; total DFT energy (no corrections) = -22.0 eV/f.u.; SG = P-6m2 (187)
1.0
3.813 0.000 0.000
-1.906 3.302 0.000
0.000 0.000 4.658
H Gd Br
1 1 1
direct
0.333 0.667 0.500
0.667 0.333 0.500
0.000 0.000 0.000


[4]
PBE KMn2Ni, relaxed; size of the total moment = 2.207 μB per atom; formation energy = 0.944 eV per atom; DOS(E_F) = 0.758 states/eV/atom; density = 3.00 g/cm3; SG = I4_1/amd (141)
1.0
5.476 0.000 0.000
0.000 5.476 0.000
2.738 2.738 7.668
Ni K Mn
2 2 4
direct
0.000 0.000 0.000
0.750 0.250 0.500
0.500 0.500 0.000
0.250 0.750 0.500
0.875 0.125 0.250
0.875 0.625 0.250
0.375 0.125 0.750
0.875 0.125 0.750


[5]
PBE NaCoMo2, relaxed; size of the total moment = 0.000 μB per atom; formation energy = 1.084 eV per atom; DOS(E_F) = 2.057 states/eV/atom; density = 7.77 g/cm3; SG = Fm-3m (225)
1.0
3.902 -0.732 1.799
0.414 -2.952 3.180
2.084 -3.751 -0.766
Na Mo Co
1 2 1
direct
0.000 0.000 0.000
0.250 0.250 0.250
0.750 0.750 0.750
0.500 0.500 0.500


[6]
PBE YLuSe3, relaxed; size of the total moment = 0.000 μB per atom; DOS(E_F) = 0.414 states/eV/atom; density = 5.56 g/cm3; total DFT energy (no corrections) = -28.4 eV/f.u.; SG = Fd-3m (227)
1.0
-8.909 3.118 -0.598
-3.341 3.217 -8.242
-6.454 -5.009 -4.765
Y Lu Se
4 4 12
direct
0.625 0.625 0.625
0.625 0.125 0.625
0.125 0.625 0.625
0.625 0.625 0.125
0.125 0.125 0.125
0.125 0.625 0.125
0.625 0.125 0.125
0.125 0.125 0.625
0.757 0.243 0.243
0.007 0.493 0.493
0.493 0.493 0.007
0.493 0.007 0.007
0.007 0.493 0.007
0.757 0.243 0.757
0.493 0.007 0.493
0.007 0.007 0.493
0.243 0.757 0.243
0.243 0.757 0.757
0.243 0.243 0.757
0.757 0.757 0.243


[7]
PBE Sc2TiPt2, relaxed; size of the total moment = 0.335 μB per atom; formation energy = -0.743 eV per atom; DOS(E_F) = 0.457 states/eV/atom; density = 9.48 g/cm3; SG = P4/mbm (127)
1.0
7.897 0.000 0.000
0.000 7.897 0.000
0.000 0.000 2.965
Sc Pt Ti
4 4 2
direct
0.354 0.854 0.000
0.854 0.646 0.000
0.646 0.146 0.000
0.146 0.354 0.000
0.153 0.653 0.500
0.653 0.847 0.500
0.847 0.347 0.500
0.347 0.153 0.500
0.000 0.000 0.000
0.500 0.500 0.000


[8]
PBE CaTaMo3, relaxed; size of the total moment = 0.209 μB per atom; formation energy = 1.427 eV per atom; DOS(E_F) = 1.131 states/eV/atom; density = 7.28 g/cm3; SG = Pm-3m (221)
1.0
4.878 0.000 0.000
0.000 4.878 0.000
0.000 0.000 4.878
Mo Ca Ta
3 1 1
direct
0.000 0.500 0.000
0.000 0.000 0.500
0.500 0.000 0.000
0.500 0.500 0.500
0.000 0.000 0.000